A relaxed Li2LaPb2 crystal. Source: Alexandria via LeMat-Bulk, functional GGA-PBEsol.

## Properties
Energy of formation in kJ/mol of formula units: -209
VASP energy in eV/atom: -3.89
Distance to the lowest polymorph of the same formula in eV per formula unit: 0.124

a b c (Å): 8.4992 8.4992 3.2492
angles (deg): 90.00 90.00 90.00
Fractional coordinates of all 10 atoms:
Li  0.1150  0.3850  0.0000
Li  0.3850  0.8850  0.0000
Li  0.6150  0.1150  0.0000
Li  0.8850  0.6150  0.0000
La  0.0000  0.0000  0.0000
La  0.5000  0.5000  0.0000
Pb  0.1776  0.6776  0.5000
Pb  0.3224  0.1776  0.5000
Pb  0.6776  0.8224  0.5000
Pb  0.8224  0.3224  0.5000